# Ti3Zn2Pt2 GGA-PBE relaxed
# Mass density: 10.27 g cm⁻³
# VASP energy: -84.72 eV per cell
data_Ti3Zn2Pt2
_chemical_formula_sum 'Ti6 Zn4 Pt4'
_cell_length_a 4.0772
_cell_length_b 18.6657
_cell_length_c 2.8231
_cell_angle_alpha 90.00
_cell_angle_beta 90.00
_cell_angle_gamma 90.00
_symmetry_space_group_name_H-M 'C m m m'
_symmetry_Int_Tables_number 65
_symmetry_space_group_name_Hall '-C 2 2'
loop_
_atom_site_label
_atom_site_fract_x
_atom_site_fract_y
_atom_site_fract_z
Ti1 0.0000 0.0000 0.0000
Ti2 0.0000 0.1462 0.0000
Zn1 0.0000 0.2842 0.5000
Pt1 0.0000 0.4246 0.5000